No. 1
# PBE Ac2GeSe, relaxed
data_Ac2GeSe
_space_group_name_H-M_alt 'P 1'
_space_group_IT_number 1
_cell_length_a 3.815
_cell_length_b 3.815
_cell_length_c 8.036
_cell_angle_alpha 90.00
_cell_angle_beta 90.00
_cell_angle_gamma 90.00
loop_
_space_group_symop_operation_xyz
'x,y,z'
loop_
_atom_site_label
_atom_site_fract_x
_atom_site_fract_y
_atom_site_fract_z
Ac1 0.000 0.000 0.754
Ac2 0.000 0.000 0.246
Se1 0.500 0.500 0.500
Ge1 0.500 0.500 0.000
# ρ = 8596 kg/m³
# Fermi-level density of states = 2.2 states/eV/f.u.
# distance to the lowest polymorph of the same formula = 266 meV/atom
# formation energy without anion corrections = -4.5 eV/f.u.

---

No. 2
# PBE Re2Tc2Au, relaxed
data_Re2Tc2Au
_space_group_name_H-M_alt 'P 1'
_space_group_IT_number 1
_cell_length_a 7.600
_cell_length_b 7.600
_cell_length_c 2.788
_cell_angle_alpha 90.00
_cell_angle_beta 90.00
_cell_angle_gamma 90.00
loop_
_space_group_symop_operation_xyz
'x,y,z'
loop_
_atom_site_label
_atom_site_fract_x
_atom_site_fract_y
_atom_site_fract_z
Tc1 0.867 0.633 0.000
Tc2 0.133 0.367 0.000
Tc3 0.633 0.133 0.000
Tc4 0.367 0.867 0.000
Re1 0.842 0.342 0.500
Re2 0.658 0.842 0.500
Re3 0.342 0.158 0.500
Re4 0.158 0.658 0.500
Au1 0.000 0.000 0.000
Au2 0.500 0.500 0.000
# ρ = 15782 kg/m³
# Fermi-level density of states = 4.1 states/eV/f.u.
# energy of formation from the pure elements = 0.281 eV per atom

---

No. 3
# PBE SrBe2Br6, relaxed
data_SrBe2Br6
_space_group_name_H-M_alt 'P 1'
_space_group_IT_number 1
_cell_length_a 6.548
_cell_length_b 10.261
_cell_length_c 10.261
_cell_angle_alpha 81.53
_cell_angle_beta 113.21
_cell_angle_gamma 113.21
loop_
_space_group_symop_operation_xyz
'x,y,z'
loop_
_atom_site_label
_atom_site_fract_x
_atom_site_fract_y
_atom_site_fract_z
Br1 0.520 0.722 0.602
Br2 0.427 0.962 0.790
Br3 0.980 0.398 0.278
Br4 0.451 0.573 0.157
Br5 0.073 0.210 0.038
Br6 0.951 0.157 0.573
Br7 0.927 0.790 0.962
Br8 0.049 0.843 0.427
Br9 0.573 0.038 0.210
Br10 0.480 0.278 0.398
Br11 0.020 0.602 0.722
Br12 0.549 0.427 0.843
Be1 0.263 0.798 0.635
Be2 0.237 0.365 0.202
Be3 0.737 0.202 0.365
Be4 0.763 0.635 0.798
Sr1 0.750 0.258 0.742
Sr2 0.250 0.742 0.258
# ρ = 3337 kg/m³
# Fermi-level density of states = 0.0 states/eV/f.u.
# formation energy without anion corrections = -11.9 eV/f.u.

---

No. 4
# PBE HfCu2Bi, relaxed
data_HfCu2Bi
_space_group_name_H-M_alt 'P 1'
_space_group_IT_number 1
_cell_length_a 7.403
_cell_length_b 7.403
_cell_length_c 5.985
_cell_angle_alpha 51.79
_cell_angle_beta 51.79
_cell_angle_gamma 90.00
loop_
_space_group_symop_operation_xyz
'x,y,z'
loop_
_atom_site_label
_atom_site_fract_x
_atom_site_fract_y
_atom_site_fract_z
Hf1 0.250 0.750 0.500
Hf2 0.500 0.500 0.000
Cu1 0.375 0.377 0.750
Cu2 0.623 0.125 0.250
Cu3 0.127 0.625 0.250
Cu4 0.875 0.873 0.750
Bi1 0.750 0.250 0.500
Bi2 0.000 0.000 0.000
# ρ = 10747 kg/m³
# Fermi-level density of states = 3.7 states/eV/f.u.
# energy of formation from the pure elements = 0.283 eV per atom

---

No. 5
# PBE Ac2LaCo, relaxed
data_Ac2LaCo
_space_group_name_H-M_alt 'P 1'
_space_group_IT_number 1
_cell_length_a 6.771
_cell_length_b 7.402
_cell_length_c 10.522
_cell_angle_alpha 90.00
_cell_angle_beta 90.00
_cell_angle_gamma 90.00
loop_
_space_group_symop_operation_xyz
'x,y,z'
loop_
_atom_site_label
_atom_site_fract_x
_atom_site_fract_y
_atom_site_fract_z
Co1 0.971 0.632 0.750
Co2 0.471 0.868 0.250
Co3 0.029 0.368 0.250
Co4 0.529 0.132 0.750
Ac1 0.320 0.162 0.427
Ac2 0.680 0.838 0.927
Ac3 0.320 0.162 0.073
Ac4 0.180 0.662 0.073
Ac5 0.820 0.338 0.573
Ac6 0.820 0.338 0.927
Ac7 0.680 0.838 0.573
Ac8 0.180 0.662 0.427
La1 0.164 0.935 0.750
La2 0.836 0.065 0.250
La3 0.664 0.565 0.250
La4 0.336 0.435 0.750
# ρ = 8210 kg/m³
# Fermi-level density of states = 4.9 states/eV/f.u.
# distance to the lowest polymorph of the same formula = 0 meV/atom
# energy of formation from the pure elements = -0.049 eV per atom

---

No. 6
# PBE InAgPb, relaxed
data_InAgPb
_space_group_name_H-M_alt 'P 1'
_space_group_IT_number 1
_cell_length_a 5.894
_cell_length_b 5.875
_cell_length_c 6.617
_cell_angle_alpha 90.00
_cell_angle_beta 55.65
_cell_angle_gamma 119.90
loop_
_space_group_symop_operation_xyz
'x,y,z'
loop_
_atom_site_label
_atom_site_fract_x
_atom_site_fract_y
_atom_site_fract_z
Pb1 0.849 0.594 0.490
Pb2 0.306 0.822 0.762
Ag1 0.576 0.207 0.219
Ag2 0.576 0.707 0.219
In1 0.990 0.164 0.707
In2 0.162 0.250 0.121
# ρ = 9468 kg/m³
# Fermi-level density of states = 1.1 states/eV/f.u.
# energy of formation from the pure elements = 0.017 eV per atom

---

No. 7
# PBE SiBAsRhS, relaxed
data_SiBAsRhS
_space_group_name_H-M_alt 'P 1'
_space_group_IT_number 1
_cell_length_a 3.462
_cell_length_b 4.671
_cell_length_c 5.759
_cell_angle_alpha 111.86
_cell_angle_beta 99.26
_cell_angle_gamma 92.29
loop_
_space_group_symop_operation_xyz
'x,y,z'
loop_
_atom_site_label
_atom_site_fract_x
_atom_site_fract_y
_atom_site_fract_z
As1 0.352 0.203 0.841
Rh1 0.634 0.424 0.322
S1 0.768 0.915 0.302
B1 0.784 0.227 0.618
Si1 0.228 0.618 0.609
# ρ = 4872 kg/m³
# Fermi-level density of states = 1.4 states/eV/f.u.
# distance to the lowest polymorph of the same formula = 170 meV/atom
# formation energy without anion corrections = -0.2 eV/f.u.

---

No. 8
# PBE CsMo3S3, relaxed
data_CsMo3S3
_space_group_name_H-M_alt 'P 1'
_space_group_IT_number 1
_cell_length_a 9.507
_cell_length_b 9.507
_cell_length_c 4.463
_cell_angle_alpha 90.00
_cell_angle_beta 90.00
_cell_angle_gamma 120.00
loop_
_space_group_symop_operation_xyz
'x,y,z'
loop_
_atom_site_label
_atom_site_fract_x
_atom_site_fract_y
_atom_site_fract_z
Mo1 0.026 0.174 0.750
Mo2 0.174 0.148 0.250
Mo3 0.826 0.852 0.750
Mo4 0.974 0.826 0.250
Mo5 0.148 0.974 0.750
Mo6 0.852 0.026 0.250
S1 0.675 0.725 0.250
S2 0.275 0.950 0.250
S3 0.325 0.275 0.750
S4 0.725 0.050 0.750
S5 0.950 0.675 0.750
S6 0.050 0.325 0.250
Cs1 0.333 0.667 0.750
Cs2 0.667 0.333 0.250
# ρ = 4914 kg/m³
# Fermi-level density of states = 1.2 states/eV/f.u.
# formation energy without anion corrections = -5.8 eV/f.u.

---

No. 9
# PBE LaErInCu, relaxed
data_LaErInCu
_space_group_name_H-M_alt 'P 1'
_space_group_IT_number 1
_cell_length_a 5.289
_cell_length_b 5.289
_cell_length_c 5.289
_cell_angle_alpha 60.00
_cell_angle_beta 60.00
_cell_angle_gamma 60.00
loop_
_space_group_symop_operation_xyz
'x,y,z'
loop_
_atom_site_label
_atom_site_fract_x
_atom_site_fract_y
_atom_site_fract_z
Cu1 0.750 0.750 0.750
Er1 0.000 0.000 0.000
In1 0.250 0.250 0.250
La1 0.500 0.500 0.500
# ρ = 7690 kg/m³
# Fermi-level density of states = 3.7 states/eV/f.u.
# energy of formation from the pure elements = -0.272 eV per atom

---

No. 10
# PBE PrEuAlIn, relaxed
data_PrEuAlIn
_space_group_name_H-M_alt 'P 1'
_space_group_IT_number 1
_cell_length_a 5.447
_cell_length_b 5.447
_cell_length_c 5.447
_cell_angle_alpha 60.00
_cell_angle_beta 60.00
_cell_angle_gamma 60.00
loop_
_space_group_symop_operation_xyz
'x,y,z'
loop_
_atom_site_label
_atom_site_fract_x
_atom_site_fract_y
_atom_site_fract_z
Al1 0.750 0.750 0.750
Eu1 0.500 0.500 0.500
Pr1 0.000 0.000 0.000
In1 0.250 0.250 0.250
# ρ = 6317 kg/m³
# Fermi-level density of states = 9.5 states/eV/f.u.
# energy of formation from the pure elements = -0.345 eV per atom

---

No. 11
# PBE AcPrDy3Tm, relaxed
data_AcPrDy3Tm
_space_group_name_H-M_alt 'P 1'
_space_group_IT_number 1
_cell_length_a 5.700
_cell_length_b 10.018
_cell_length_c 7.713
_cell_angle_alpha 91.78
_cell_angle_beta 90.00
_cell_angle_gamma 106.53
loop_
_space_group_symop_operation_xyz
'x,y,z'
loop_
_atom_site_label
_atom_site_fract_x
_atom_site_fract_y
_atom_site_fract_z
Pr1 0.954 0.907 0.714
Pr2 0.046 0.093 0.286
Dy1 0.475 0.950 0.300
Dy2 0.219 0.438 0.249
Dy3 0.525 0.050 0.700
Dy4 0.781 0.562 0.751
Dy5 0.166 0.332 0.711
Dy6 0.834 0.668 0.289
Ac1 0.359 0.719 0.976
Ac2 0.641 0.281 0.024
Tm1 0.345 0.690 0.550
Tm2 0.655 0.310 0.450
# ρ = 8062 kg/m³
# Fermi-level density of states = 9.6 states/eV/f.u.
# energy of formation from the pure elements = 0.223 eV per atom

---

No. 12
# PBE LaTh2Tl3Te6, relaxed
data_LaTh2Tl3Te6
_space_group_name_H-M_alt 'P 1'
_space_group_IT_number 1
_cell_length_a 7.733
_cell_length_b 7.733
_cell_length_c 8.854
_cell_angle_alpha 98.38
_cell_angle_beta 98.38
_cell_angle_gamma 120.03
loop_
_space_group_symop_operation_xyz
'x,y,z'
loop_
_atom_site_label
_atom_site_fract_x
_atom_site_fract_y
_atom_site_fract_z
Tl1 0.164 0.836 0.500
Tl2 0.500 0.500 0.500
Tl3 0.836 0.164 0.500
Th1 0.333 0.667 0.000
Th2 0.667 0.333 0.000
La1 0.000 0.000 0.000
Te1 0.076 0.418 0.226
Te2 0.582 0.924 0.774
Te3 0.732 0.732 0.224
Te4 0.418 0.076 0.226
Te5 0.268 0.268 0.776
Te6 0.924 0.582 0.774
# ρ = 7506 kg/m³
# Fermi-level density of states = 8.1 states/eV/f.u.
# formation energy without anion corrections = -11.1 eV/f.u.

---

No. 13
# PBE ZnSiN2, relaxed
data_ZnSiN2
_space_group_name_H-M_alt 'P 1'
_space_group_IT_number 1
_cell_length_a 5.849
_cell_length_b 5.849
_cell_length_c 5.849
_cell_angle_alpha 28.65
_cell_angle_beta 28.65
_cell_angle_gamma 28.65
loop_
_space_group_symop_operation_xyz
'x,y,z'
loop_
_atom_site_label
_atom_site_fract_x
_atom_site_fract_y
_atom_site_fract_z
N1 0.890 0.890 0.890
N2 0.110 0.110 0.110
Zn1 0.000 0.000 0.000
Si1 0.500 0.500 0.500
# ρ = 4961 kg/m³
# Fermi-level density of states = 0.0 states/eV/f.u.
# formation energy without anion corrections = -1.3 eV/f.u.

---

No. 14
# PBE NaTl2In, relaxed
data_NaTl2In
_space_group_name_H-M_alt 'P 1'
_space_group_IT_number 1
_cell_length_a 4.679
_cell_length_b 4.679
_cell_length_c 11.753
_cell_angle_alpha 78.52
_cell_angle_beta 78.52
_cell_angle_gamma 90.00
loop_
_space_group_symop_operation_xyz
'x,y,z'
loop_
_atom_site_label
_atom_site_fract_x
_atom_site_fract_y
_atom_site_fract_z
Tl1 0.875 0.874 0.750
Tl2 0.624 0.125 0.250
Tl3 0.375 0.376 0.750
Tl4 0.126 0.625 0.250
Na1 0.500 0.500 0.000
Na2 0.250 0.750 0.500
In1 0.750 0.250 0.500
In2 0.000 0.000 0.000
# ρ = 7351 kg/m³
# Fermi-level density of states = 2.4 states/eV/f.u.
# energy of formation from the pure elements = 0.050 eV per atom

---

No. 15
# PBE Ca2PH, relaxed
data_Ca2PH
_space_group_name_H-M_alt 'P 1'
_space_group_IT_number 1
_cell_length_a 5.761
_cell_length_b 5.761
_cell_length_c 5.761
_cell_angle_alpha 72.04
_cell_angle_beta 130.73
_cell_angle_gamma 130.99
loop_
_space_group_symop_operation_xyz
'x,y,z'
loop_
_atom_site_label
_atom_site_fract_x
_atom_site_fract_y
_atom_site_fract_z
Ca1 0.000 0.194 0.194
Ca2 0.000 0.806 0.806
H1 0.000 0.000 0.000
P1 0.000 0.500 0.500
# ρ = 1741 kg/m³
# Fermi-level density of states = 1.5 states/eV/f.u.
# distance to the lowest polymorph of the same formula = 962 meV/atom

---

No. 16
# PBE Nd2PuBi3, relaxed
data_Nd2PuBi3
_space_group_name_H-M_alt 'P 1'
_space_group_IT_number 1
_cell_length_a 4.596
_cell_length_b 6.484
_cell_length_c 7.940
_cell_angle_alpha 114.10
_cell_angle_beta 106.82
_cell_angle_gamma 90.00
loop_
_space_group_symop_operation_xyz
'x,y,z'
loop_
_atom_site_label
_atom_site_fract_x
_atom_site_fract_y
_atom_site_fract_z
Nd1 0.668 0.168 0.335
Nd2 0.332 0.832 0.665
Bi1 0.663 0.663 0.326
Bi2 0.000 0.000 0.000
Bi3 0.337 0.337 0.674
Pu1 0.000 0.500 0.000
# ρ = 9399 kg/m³
# Fermi-level density of states = 17.1 states/eV/f.u.
# distance to the lowest polymorph of the same formula = 3 meV/atom
# energy of formation from the pure elements = -0.734 eV per atom

---

No. 17
# PBE CePu2MgN4, relaxed
data_CePu2MgN4
_space_group_name_H-M_alt 'P 1'
_space_group_IT_number 1
_cell_length_a 3.499
_cell_length_b 5.965
_cell_length_c 5.887
_cell_angle_alpha 109.12
_cell_angle_beta 90.00
_cell_angle_gamma 90.00
loop_
_space_group_symop_operation_xyz
'x,y,z'
loop_
_atom_site_label
_atom_site_fract_x
_atom_site_fract_y
_atom_site_fract_z
Mg1 0.000 0.000 0.000
Pu1 0.500 0.000 0.500
Pu2 0.000 0.500 0.500
Ce1 0.500 0.500 0.000
N1 0.500 0.253 0.266
N2 0.000 0.239 0.742
N3 0.500 0.747 0.734
N4 0.000 0.761 0.258
# ρ = 10133 kg/m³
# Fermi-level density of states = 12.4 states/eV/f.u.
# formation energy without anion corrections = -9.2 eV/f.u.

---

No. 18
# PBE TaSi2Mo, relaxed
data_TaSi2Mo
_space_group_name_H-M_alt 'P 1'
_space_group_IT_number 1
_cell_length_a 3.267
_cell_length_b 3.267
_cell_length_c 5.570
_cell_angle_alpha 90.00
_cell_angle_beta 90.00
_cell_angle_gamma 90.00
loop_
_space_group_symop_operation_xyz
'x,y,z'
loop_
_atom_site_label
_atom_site_fract_x
_atom_site_fract_y
_atom_site_fract_z
Si1 0.000 0.000 0.994
Si2 0.500 0.500 0.243
Ta1 0.000 0.000 0.486
Mo1 0.500 0.500 0.776
# ρ = 9302 kg/m³
# Fermi-level density of states = 1.5 states/eV/f.u.
# distance to the lowest polymorph of the same formula = 0 meV/atom
# formation energy without anion corrections = -1.6 eV/f.u.

---

No. 19
# PBE LaTb2SmDy5, relaxed
data_LaTb2SmDy5
_space_group_name_H-M_alt 'P 1'
_space_group_IT_number 1
_cell_length_a 8.835
_cell_length_b 8.835
_cell_length_c 9.847
_cell_angle_alpha 116.65
_cell_angle_beta 116.65
_cell_angle_gamma 90.00
loop_
_space_group_symop_operation_xyz
'x,y,z'
loop_
_atom_site_label
_atom_site_fract_x
_atom_site_fract_y
_atom_site_fract_z
Sm1 0.250 0.750 0.500
Sm2 0.750 0.250 0.500
Tb1 0.115 0.385 0.000
Tb2 0.885 0.615 0.000
Tb3 0.615 0.115 0.000
Tb4 0.385 0.885 0.000
Dy1 0.500 0.500 0.000
Dy2 0.000 0.000 0.000
Dy3 0.163 0.072 0.735
Dy4 0.837 0.928 0.265
Dy5 0.663 0.163 0.735
Dy6 0.928 0.428 0.265
Dy7 0.572 0.663 0.735
Dy8 0.428 0.337 0.265
Dy9 0.072 0.572 0.735
Dy10 0.337 0.837 0.265
La1 0.250 0.250 0.500
La2 0.750 0.750 0.500
# ρ = 7935 kg/m³
# Fermi-level density of states = 10.8 states/eV/f.u.
# energy of formation from the pure elements = 0.271 eV per atom

---

No. 20
# PBE CaBiPdPb, relaxed
data_CaBiPdPb
_space_group_name_H-M_alt 'P 1'
_space_group_IT_number 1
_cell_length_a 5.224
_cell_length_b 5.224
_cell_length_c 5.224
_cell_angle_alpha 60.00
_cell_angle_beta 60.00
_cell_angle_gamma 60.00
loop_
_space_group_symop_operation_xyz
'x,y,z'
loop_
_atom_site_label
_atom_site_fract_x
_atom_site_fract_y
_atom_site_fract_z
Bi1 0.250 0.250 0.250
Pd1 0.000 0.000 0.000
Ca1 0.500 0.500 0.500
Pb1 0.750 0.750 0.750
# ρ = 9271 kg/m³
# Fermi-level density of states = 1.8 states/eV/f.u.
# energy of formation from the pure elements = -0.353 eV per atom